# 1
20
Lattice="10.5523 0.0000 0.0000 0.0000 3.5561 0.0000 -2.6245 0.0000 11.0777" Properties=species:S:1:pos:R:3 comment="Sc6TlS3 GGA-PBE relaxed" dft_energy_ev_per_atom=-6.437 formation_energy_uncorrected_ev_per_atom=-1.163 vol_a3_per_cell=415.7 pbc="T T T"
Sc -0.0382 0.8890 1.5004
Sc 0.1222 2.6671 5.1705
Sc 0.0968 0.8890 8.2483
Sc 3.1940 2.6671 0.3810
Sc 2.6078 0.8890 3.0737
Sc 2.8307 0.8890 6.5780
Sc 5.0970 2.6671 4.4997
Sc 5.3199 2.6671 8.0040
Sc 4.7338 0.8890 10.6967
Sc 7.8309 2.6671 2.8293
Sc 7.8055 0.8890 5.9071
Sc 7.9660 2.6671 9.5773
Tl 2.5673 2.6671 9.1576
Tl 5.3605 0.8890 1.9200
S -1.4511 2.6671 7.2224
S -1.0468 0.8890 10.5373
S 2.5902 2.6671 4.8232
S 5.3376 0.8890 6.2544
S 8.9745 2.6671 0.5403
S 9.3789 0.8890 3.8552

# 2
80
Lattice="-7.8320 7.8320 7.8320 7.8320 -7.8320 7.8320 7.8320 7.8320 -7.8320" Properties=species:S:1:pos:R:3 comment="Sc3Tl5S12 GGA-PBE relaxed" dft_energy_ev_per_atom=-4.567 formation_energy_uncorrected_ev_per_atom=-0.549 vol_a3_per_cell=1921.7 pbc="T T T"
Sc 3.9160 1.9580 0.0000
Sc 7.8320 3.9160 -1.9580
Sc 1.9580 0.0000 3.9160
Sc 9.7900 0.0000 3.9160
Sc 0.0000 3.9160 1.9580
Sc 3.9160 -1.9580 7.8320
Sc 3.9160 9.7900 0.0000
Sc 7.8320 3.9160 5.8740
Sc -1.9580 7.8320 3.9160
Sc 5.8740 7.8320 3.9160
Sc 0.0000 3.9160 9.7900
Sc 3.9160 5.8740 7.8320
Tl 0.0000 0.0000 0.0000
Tl 3.9160 3.9160 -3.9160
Tl 3.9160 -3.9160 3.9160
Tl 7.8320 0.0000 0.0000
Tl 11.7480 1.9580 0.0000
Tl 7.8320 -3.9160 5.8740
Tl 5.8740 7.8320 -3.9160
Tl 5.8740 0.0000 3.9160
Tl 3.9160 5.8740 0.0000
Tl 7.8320 3.9160 1.9580
Tl -3.9160 3.9160 3.9160
Tl 0.0000 7.8320 0.0000
Tl 0.0000 0.0000 7.8320
Tl 3.9160 3.9160 3.9160
Tl 0.0000 3.9160 5.8740
Tl 3.9160 1.9580 7.8320
Tl 1.9580 7.8320 3.9160
Tl 1.9580 0.0000 11.7480
Tl 0.0000 11.7480 1.9580
Tl -3.9160 5.8740 7.8320
S 2.4288 -0.2538 1.1208
S 9.3192 5.0368 -4.1698
S 7.5782 -1.1208 2.4288
S 12.0018 -1.4872 2.7952
S 10.2608 0.2538 1.1208
S 9.3192 -2.7952 4.1698
S 1.1208 2.4288 -0.2538
S 10.6272 3.6622 -1.4872
S 5.0368 4.1698 -1.4872
S 6.7112 2.4288 0.2538
S -0.2538 1.1208 2.4288
S 4.1698 -1.4872 5.0368
S 7.5782 6.7112 -2.4288
S 4.1698 1.4872 2.7952
S 6.7112 -2.4288 7.5782
S 5.0368 -4.1698 9.3192
S 2.7952 4.1698 1.4872
S 8.9528 5.4032 0.2538
S 2.4288 7.5782 -1.1208
S 9.3192 2.7952 3.6622
S 4.1698 9.3192 -2.7952
S 7.5782 1.1208 5.4032
S 1.4872 2.7952 4.1698
S 2.4288 0.2538 6.7112
S 5.4032 7.5782 1.1208
S 6.3448 5.0368 3.6622
S 0.2538 6.7112 2.4288
S 3.6622 -1.4872 10.6272
S -1.4872 5.0368 4.1698
S 5.4032 0.2538 8.9528
S -1.1208 2.4288 7.5782
S 5.0368 3.6622 6.3448
S 2.7952 12.0018 -1.4872
S 1.1208 10.2608 0.2538
S 3.6622 6.3448 5.0368
S 0.2538 1.1208 10.2608
S 3.6622 9.3192 2.7952
S 8.0858 6.7112 5.4032
S 1.1208 5.4032 7.5782
S 2.7952 3.6622 9.3192
S -2.7952 4.1698 9.3192
S 6.7112 5.4032 8.0858
S -1.4872 10.6272 3.6622
S -2.4288 7.5782 6.7112
S -4.1698 9.3192 5.0368
S 0.2538 8.9528 5.4032
S -1.4872 2.7952 12.0018
S 5.4032 8.0858 6.7112

# 3
5
Lattice="5.3447 0.0000 0.0000 0.0000 5.3447 0.0000 0.0000 0.0000 5.3447" Properties=species:S:1:pos:R:3 comment="Sc3TlS GGA-PBE relaxed" dft_energy_ev_per_atom=-4.648 formation_energy_uncorrected_ev_per_atom=0.450 vol_a3_per_cell=152.7 pbc="T T T"
Sc 0.0000 0.0000 2.6723
Sc 0.0000 2.6723 0.0000
Sc 2.6723 0.0000 0.0000
Tl 0.0000 0.0000 0.0000
S 2.6723 2.6723 2.6723

# 4
8
Lattice="-4.1136 4.1136 2.9767 4.1136 -4.1136 2.9767 4.1136 4.1136 -2.9767" Properties=species:S:1:pos:R:3 comment="ScTl2S GGA-PBE relaxed" dft_energy_ev_per_atom=-3.923 formation_energy_uncorrected_ev_per_atom=-0.125 vol_a3_per_cell=201.5 pbc="T T T"
Sc 0.0000 0.0000 0.0000
Sc 0.0000 4.1136 1.4883
Tl 2.0568 2.1769 -0.7442
Tl 6.0504 2.0568 0.7442
Tl 2.0568 1.9367 2.2325
Tl -1.9367 2.0568 3.7208
S 4.1136 0.0000 1.4883
S 0.0000 0.0000 2.9767

# 5
8
Lattice="-3.6660 3.6660 3.3921 3.6660 -3.6660 3.3921 3.6660 3.6660 -3.3921" Properties=species:S:1:pos:R:3 comment="Sc2TlS GGA-PBE relaxed" dft_energy_ev_per_atom=-5.516 formation_energy_uncorrected_ev_per_atom=-0.726 vol_a3_per_cell=182.3 pbc="T T T"
Sc 5.4989 1.4793 -0.8480
Sc 1.4793 1.8330 0.8480
Sc -1.8330 2.1867 2.5441
Sc 2.1867 1.8330 4.2401
Tl 3.6660 0.0000 1.6960
Tl 0.0000 0.0000 3.3921
S 0.0000 0.0000 0.0000
S 0.0000 3.6660 1.6960

# 6
11
Lattice="5.8621 0.0000 0.0000 0.6713 6.0832 0.0000 2.1128 1.0759 8.1175" Properties=species:S:1:pos:R:3 comment="ScTl2S8 GGA-PBE relaxed" dft_energy_ev_per_atom=-4.426 formation_energy_uncorrected_ev_per_atom=-0.418 vol_a3_per_cell=289.5 pbc="T T T"
Sc 0.0000 0.0000 0.0000
Tl 3.4661 2.9600 2.2423
Tl 5.1802 4.1992 5.8752
S 1.3524 1.5091 4.3800
S 1.2074 3.5773 0.1515
S 2.9828 1.1954 5.5522
S 3.0924 6.1033 0.9057
S 5.5539 1.0558 7.2118
S 5.6635 5.9638 2.5653
S 7.4388 3.5818 7.9659
S 7.2938 5.6501 3.7374

# 7
9
Lattice="7.6636 -3.5876 0.0000 7.6636 3.5876 0.0000 -0.1344 0.0000 4.1794" Properties=species:S:1:pos:R:3 comment="ScTl2S6 GGA-PBE relaxed" dft_energy_ev_per_atom=-4.368 formation_energy_uncorrected_ev_per_atom=-0.387 vol_a3_per_cell=229.8 pbc="T T T"
Sc 0.0000 0.0000 0.0000
Tl 5.0865 0.0000 3.0924
Tl 10.1063 0.0000 1.0870
S 5.5160 2.3444 0.9490
S 7.5964 2.0162 2.0897
S 9.6767 2.3444 3.2304
S 5.5160 -2.3444 0.9490
S 7.5964 -2.0162 2.0897
S 9.6767 -2.3444 3.2304

# 8
5
Lattice="5.4587 0.0000 0.0000 0.0000 5.4587 0.0000 0.0000 0.0000 5.4587" Properties=species:S:1:pos:R:3 comment="ScTl3S GGA-PBE relaxed" dft_energy_ev_per_atom=-3.080 formation_energy_uncorrected_ev_per_atom=0.432 vol_a3_per_cell=162.7 pbc="T T T"
Sc 0.0000 0.0000 0.0000
Tl 0.0000 2.7293 2.7293
Tl 2.7293 0.0000 2.7293
Tl 2.7293 2.7293 0.0000
S 2.7293 2.7293 2.7293